Computed, not measured: crystalline Pu6In2N at its relaxed geometry at the PBE level of DFT.

Output
Crystal system = cubic
SG = Fm-3m
N(E_F) = 4.07 states/eV/atom
DFT total energy = -11.37 eV per atom
Energy relative to the elements, uncorrected = -0.28 eV per atom

a = 6.8181 Å, b = 6.8181 Å, c = 6.8181 Å
α = 60.00°, β = 60.00°, γ = 60.00°
Closest atoms and distances in Å follow each position.
Positions (direct):
Pu 0.2478 0.2478 0.7522  1 N 2.39
Pu 0.2478 0.7522 0.2478  1 N 2.39
Pu 0.2478 0.7522 0.7522  1 N 2.39
Pu 0.7522 0.2478 0.2478  1 N 2.39
Pu 0.7522 0.2478 0.7522  1 N 2.39
Pu 0.7522 0.7522 0.2478  1 N 2.39
In 0.2500 0.2500 0.2500  12 Pu 3.41
In 0.7500 0.7500 0.7500  12 Pu 3.41
N 0.0000 0.0000 0.0000  6 Pu 2.39

***

Computed, not measured: crystalline Sr3Ga2Sb4 at its relaxed geometry at the PBE level of DFT.

Output
Energy relative to the lowest polymorph listed for this composition = 0 meV/atom
Crystal system = monoclinic
SG = C2/c
N(E_F) = 0.01 states/eV/atom
DFT total energy = -3.75 eV per atom
Energy relative to the elements, uncorrected = -0.68 eV per atom

a = 9.2398 Å, b = 9.2398 Å, c = 7.2718 Å
α = 91.46°, β = 91.46°, γ = 76.14°
Closest atoms and distances in Å follow each position.
Positions (direct):
Sr 0.1029 0.8971 0.7500  6 Sb 3.27-3.46
Sr 0.2533 0.5011 0.0179  6 Sb 3.32-3.69
Sr 0.4989 0.7467 0.4821  6 Sb 3.32-3.69
Sr 0.5011 0.2533 0.5179  6 Sb 3.32-3.69
Sr 0.7467 0.4989 0.9821  6 Sb 3.32-3.69
Sr 0.8971 0.1029 0.2500  6 Sb 3.27-3.46
Ga 0.0859 0.3229 0.5826  4 Sb 2.68-2.78
Ga 0.3229 0.0859 0.0826  4 Sb 2.68-2.78
Ga 0.6771 0.9141 0.9174  4 Sb 2.68-2.78
Ga 0.9141 0.6771 0.4174  4 Sb 2.68-2.78
Sb 0.0644 0.2424 0.9311  2 Ga 2.68-2.70
Sb 0.2108 0.5590 0.5174  2 Ga 2.76-2.78
Sb 0.2424 0.0644 0.4311  2 Ga 2.68-2.70
Sb 0.4410 0.7892 0.9826  2 Ga 2.76-2.78
Sb 0.5590 0.2108 0.0174  2 Ga 2.76-2.78
Sb 0.7576 0.9356 0.5689  2 Ga 2.68-2.70
Sb 0.7892 0.4410 0.4826  2 Ga 2.76-2.78
Sb 0.9356 0.7576 0.0689  2 Ga 2.68-2.70

***

Computed, not measured: crystalline Tb3Dy5Tm2 at its relaxed geometry at the PBE level of DFT.

Output
Crystal system = monoclinic
SG = C2/c
N(E_F) = 1.84 states/eV/atom
DFT total energy = -4.38 eV per atom
Formation enthalpy at 0 K = 0.2022 eV/atom

a = 9.4174 Å, b = 9.4174 Å, c = 9.4092 Å
α = 108.27°, β = 108.27°, γ = 111.57°
Closest atoms and distances in Å follow each position.
Positions (direct):
Tb 0.0155 0.2655 0.0457  1 Tm 3.18, 6 Dy 3.26-3.54, 1 Tb 3.45
Tb 0.2318 0.7682 0.7500  3 Dy 3.22-3.54, 4 Tm 3.28-3.49, 2 Tb 3.45
Tb 0.2655 0.0155 0.5457  1 Tm 3.18, 6 Dy 3.26-3.54, 1 Tb 3.45
Tb 0.7345 0.9845 0.4543  1 Tm 3.18, 6 Dy 3.26-3.54, 1 Tb 3.45
Tb 0.7682 0.2318 0.2500  3 Dy 3.22-3.54, 4 Tm 3.28-3.49, 2 Tb 3.45
Tb 0.9845 0.7345 0.9543  1 Tm 3.18, 6 Dy 3.26-3.54, 1 Tb 3.45
Dy 0.0250 0.9750 0.7500  5 Tb 3.22-3.39, 2 Tm 3.36, 2 Dy 3.47
Dy 0.1514 0.3848 0.7826  3 Tb 3.42-3.66, 2 Tm 3.43-3.61, 3 Dy 3.47-3.62
Dy 0.2729 0.7271 0.2500  1 Dy 3.07, 2 Tb 3.26
Dy 0.3848 0.1514 0.2826  3 Tb 3.42-3.66, 2 Tm 3.43-3.61, 3 Dy 3.47-3.62
Dy 0.4699 0.5301 0.2500  1 Dy 3.07, 2 Tm 3.29
Dy 0.5301 0.4699 0.7500  1 Dy 3.07, 2 Tm 3.29
Dy 0.6152 0.8486 0.7174  3 Tb 3.42-3.66, 2 Tm 3.43-3.61, 3 Dy 3.47-3.62
Dy 0.7271 0.2729 0.7500  1 Dy 3.07, 2 Tb 3.26
Dy 0.8486 0.6152 0.2174  3 Tb 3.42-3.66, 2 Tm 3.43-3.61, 3 Dy 3.47-3.62
Dy 0.9750 0.0250 0.2500  5 Tb 3.22-3.39, 2 Tm 3.36, 2 Dy 3.47
Tm 0.2235 0.4623 0.4524  3 Tb 3.18-3.49, 4 Dy 3.29-3.44
Tm 0.4623 0.2235 0.9524  3 Tb 3.18-3.49, 4 Dy 3.29-3.44
Tm 0.5377 0.7765 0.0476  3 Tb 3.18-3.49, 4 Dy 3.29-3.44
Tm 0.7765 0.5377 0.5476  3 Tb 3.18-3.49, 4 Dy 3.29-3.44

***

Computed, not measured: crystalline CaAc2LaPm at its relaxed geometry at the PBE level of DFT.

Output
Crystal system = monoclinic
SG = P2/c
N(E_F) = 1.14 states/eV/atom
DFT total energy = -3.76 eV per atom
Formation enthalpy at 0 K = 0.2145 eV/atom

a = 9.5479 Å, b = 6.5982 Å, c = 6.6738 Å
α = 90.00°, β = 90.05°, γ = 90.00°
Closest atoms and distances in Å follow each position.
Positions (direct):
Ca 0.0000 0.2418 0.2500  8 Ac 3.81-3.85
Ca 0.0000 0.7582 0.7500  8 Ac 3.81-3.85
Ac 0.2016 0.2568 0.7503  1 La 3.52, 2 Pm 3.71, 4 Ca 3.81-3.85, 1 Ac 3.85
Ac 0.2016 0.7432 0.2503  1 La 3.52, 2 Pm 3.71, 4 Ca 3.81-3.85, 1 Ac 3.85
Ac 0.7984 0.2568 0.7497  1 La 3.52, 2 Pm 3.71, 4 Ca 3.81-3.85, 1 Ac 3.85
Ac 0.7984 0.7432 0.2497  1 La 3.52, 2 Pm 3.71, 4 Ca 3.81-3.85, 1 Ac 3.85
La 0.5000 0.4300 0.2500  2 Pm 3.29, 2 La 3.46, 2 Ac 3.52
La 0.5000 0.5700 0.7500  2 Pm 3.29, 2 La 3.46, 2 Ac 3.52
Pm 0.5000 0.0000 0.0000  2 La 3.29, 2 Pm 3.34
Pm 0.5000 0.0000 0.5000  2 La 3.29, 2 Pm 3.34

***

Number 1: calculated volume 224.12 Å³/cell. Number 2: calculated volume 602.42 Å³/cell. Number 3: calculated volume 644.32 Å³/cell. Number 4: calculated volume 420.44 Å³/cell.